4
Lattice="-3.254 1.690 -1.402 -1.578 -0.056 3.594 2.049 4.753 0.974" Properties=species:S:1:pos:R:3 comment="GGA-PBE CsHF2, relaxed" m_tot_mub_per_fu=0.091 total_energy_ha_per_atom=-0.15660 n_ef_per_ev_cell=0.00 vol_a3_per_cell=81.2 pbc="T T T"
H 0.000 0.000 0.000
F 1.601 3.713 0.761
Cs -1.391 3.193 1.583
F 0.448 1.039 0.213

---

12
Lattice="-1.761 -4.563 6.064 4.769 -2.619 -5.576 4.773 5.060 3.523" Properties=species:S:1:pos:R:3 comment="GGA-PBE Cs6H5F, relaxed" m_tot_mub_per_fu=0.000 total_energy_ha_per_atom=-0.09425 n_ef_per_ev_cell=0.00 vol_a3_per_cell=386.8 pbc="T T T"
H 0.417 -3.914 2.181
Cs 4.802 -1.931 4.916
Cs 3.432 -4.202 1.223
Cs 2.980 -0.190 -0.905
Cs 0.853 -0.824 2.886
H 3.891 -1.061 2.005
H 6.065 -0.413 -1.870
F 0.000 0.000 0.000
Cs 6.928 -1.298 1.125
Cs 4.349 2.081 2.787
H 2.591 -3.267 -1.693
H 1.717 -1.708 5.881

---

11
Lattice="-0.627 -2.799 3.633 4.393 0.687 1.287 -5.076 9.832 3.752" Properties=species:S:1:pos:R:3 comment="GGA-PBE Cs3H2F6, relaxed" m_tot_mub_per_fu=1.054 total_energy_ha_per_atom=-0.14070 n_ef_per_ev_cell=13.91 vol_a3_per_cell=240.3 pbc="T T T"
Cs -0.214 4.708 6.540
Cs 0.000 0.000 0.000
Cs -1.096 3.012 2.132
F -0.924 0.278 3.004
F -2.042 5.614 3.974
H 1.006 1.356 4.167
F -0.386 7.442 5.668
F 1.586 2.021 1.831
H -2.315 6.364 4.505
F -2.896 5.699 6.841
F 0.733 2.106 4.698

---

5
Lattice="4.311 -0.756 0.728 1.499 4.112 0.728 3.564 2.059 5.540" Properties=species:S:1:pos:R:3 comment="GGA-PBE CsH2F2, relaxed" m_tot_mub_per_fu=0.996 total_energy_ha_per_atom=-0.13144 n_ef_per_ev_cell=0.44 vol_a3_per_cell=87.6 pbc="T T T"
F 4.041 3.958 2.632
Cs 0.749 2.056 0.364
H 6.268 1.998 4.057
H 3.105 3.417 2.939
F 5.332 1.458 4.364

---

10
Lattice="4.241 0.000 0.969 1.789 7.073 1.935 0.007 0.004 9.739" Properties=species:S:1:pos:R:3 comment="GGA-PBE Cs5HF4, relaxed" m_tot_mub_per_fu=0.056 total_energy_ha_per_atom=-0.13467 n_ef_per_ev_cell=0.00 vol_a3_per_cell=292.1 pbc="T T T"
Cs 3.793 4.875 2.933
Cs 2.245 2.203 9.710
F 2.905 1.437 6.819
F 4.476 4.278 9.710
Cs 0.898 3.539 5.837
H 0.000 0.000 0.000
F 1.561 2.800 2.933
Cs 2.472 6.377 8.714
Cs 3.565 0.700 3.929
F 3.132 5.640 5.824

---

5
Lattice="-0.818 4.560 -3.858 0.961 -3.743 -4.628 -5.896 -1.243 -0.219" Properties=species:S:1:pos:R:3 comment="GGA-PBE Cs3HF, relaxed" m_tot_mub_per_fu=0.001 de_polymorph_ev_per_atom=0.0000 n_ef_per_ev_cell=2.94 vol_a3_per_cell=219.2 pbc="T T T"
Cs 0.480 -1.871 -2.314
H -2.876 -0.213 -4.352
F 0.000 0.000 0.000
Cs -0.409 2.280 -1.929
Cs -2.948 -0.621 -0.109

---

Copy entry 2 word for word.
12
Lattice="-1.761 -4.563 6.064 4.769 -2.619 -5.576 4.773 5.060 3.523" Properties=species:S:1:pos:R:3 comment="GGA-PBE Cs6H5F, relaxed" m_tot_mub_per_fu=0.000 total_energy_ha_per_atom=-0.09425 n_ef_per_ev_cell=0.00 vol_a3_per_cell=386.8 pbc="T T T"
H 0.417 -3.914 2.181
Cs 4.802 -1.931 4.916
Cs 3.432 -4.202 1.223
Cs 2.980 -0.190 -0.905
Cs 0.853 -0.824 2.886
H 3.891 -1.061 2.005
H 6.065 -0.413 -1.870
F 0.000 0.000 0.000
Cs 6.928 -1.298 1.125
Cs 4.349 2.081 2.787
H 2.591 -3.267 -1.693
H 1.717 -1.708 5.881

---

Number 5 is which compound?
Cs5HF4